Entry 1:
A geometry-optimized KHgBr structure, computed with PBE.

abc: 8.1011 8.1011 8.1011
angles: 147.43 147.44 46.72
Last column: nearest neighbours and their distance in Å.
Fractional positions:
Hg  0.3292  0.3292  0.0000  1 Br 3.50, 1 K 3.69
Br  0.0938  0.0938  0.0000  4 K 3.22, 1 Hg 3.50
K  0.5770  0.5770  0.0000  4 Br 3.22

The value obtained for the final energy is -2.064 eV per atom. The total moment comes out at 0.0 μB per formula unit. The energy relative to the lowest polymorph listed for this composition comes out at 59 meV/atom. The uncorrected formation energy comes out at -23.98 kcal/mol of atoms.



Entry 2:
A geometry-optimized RbAg3 structure, computed with PBE.

abc: 3.1407 4.6603 7.4839
angles: 90.00 90.00 90.00
Last column: nearest neighbours and their distance in Å.
Fractional positions:
Rb  0.0000  0.5000  0.2964  2 Rb 3.14
Ag  0.0000  0.0000  0.9246  8 Ag 2.86-3.14
Ag  0.5000  0.5000  0.8403  8 Ag 2.88-3.14
Ag  0.5000  0.0000  0.6053  6 Ag 2.86-3.14

The value obtained for the final energy is -2.188 eV per atom. The value obtained for the energy of formation from the pure elements is 0.19 eV per atom. The total moment comes out at 0.0 μB per formula unit. The energy relative to the lowest polymorph listed for this composition comes out at 160 meV/atom.



Entry 3:
A geometry-optimized SbOsPt4 structure, computed with PBE.

abc: 5.3057 5.3057 5.3057
angles: 60.00 60.00 60.00
Last column: nearest neighbours and their distance in Å.
Fractional positions:
Os  0.0000  0.0000  0.0000  12 Pt 3.11, 4 Sb 3.25
Pt  0.6256  0.1231  0.6256  6 Pt 2.64-2.67
Pt  0.1231  0.6256  0.6256  6 Pt 2.64-2.67
Pt  0.6256  0.6256  0.1231  6 Pt 2.64-2.67
Pt  0.6256  0.6256  0.6256  6 Pt 2.64-2.67
Sb  0.2500  0.2500  0.2500  12 Pt 3.11, 4 Os 3.25

The value obtained for the final energy is -6.079 eV per atom. The total moment comes out at 2.0 μB per formula unit. The uncorrected formation energy comes out at 11.70 kcal/mol of atoms.



Entry 4:
A geometry-optimized K2H2F structure, computed with PBE.

abc: 4.0476 4.0476 6.9467
angles: 81.93 81.93 60.50
Last column: nearest neighbours and their distance in Å.
Fractional positions:
K  0.3048  0.3048  0.2184  2 H 2.68, 3 F 2.77-2.81
K  0.6952  0.6952  0.7816  2 H 2.68, 3 F 2.77-2.81
F  0.0000  0.0000  0.0000  6 K 2.77-2.81
H  0.8935  0.1065  0.5000  1 H 0.87
H  0.1065  0.8935  0.5000  1 H 0.87

The value obtained for the final energy is -3.110 eV per atom. The total moment comes out at 0.2 μB per formula unit.



- What is the formula in the fourth record?
  K2H2F



- Look up the total moment of the first one.
  0.0 μB per formula unit



- What is the final energy in the third record?
  -6.079 eV per atom